[1]
Material: CaTi3N
Method: DFT, SCAN
State: single point on PBEsol structure

Unit cell a=4.4025 b=4.4025 c=4.4025 alpha=90.00 beta=90.00 gamma=90.00
With the nearest neighbours (Å) after each atom.
Fractional positions:
1 N 0.5000 0.5000 0.5000  12 Ti 3.11
2 Ti 0.0000 0.5000 0.0000  2 Ca 2.20
3 Ti 0.0000 0.0000 0.5000  2 Ca 2.20
4 Ti 0.5000 0.0000 0.0000  2 Ca 2.20
5 Ca 0.0000 0.0000 0.0000  6 Ti 2.20

Density ... 3847 kg/m3
Density of states at the Fermi level ... 3.64 states/eV/cell

***

[2]
Material: CaTlN2
Method: DFT, SCAN
State: single point on PBEsol structure

Unit cell a=5.5490 b=5.5490 c=5.5490 alpha=98.98 beta=114.96 gamma=114.96
With the nearest neighbours (Å) after each atom.
Fractional positions:
1 Ca 0.5000 0.2500 0.7500  4 N 2.39
2 Ca 0.0000 0.5000 0.5000  4 N 2.39
3 N 0.9760 0.1010 0.6250  2 Tl 2.20, 2 Ca 2.39
4 N 0.0240 0.6490 0.1250  2 Tl 2.20, 2 Ca 2.39
5 N 0.4760 0.3750 0.3510  2 Tl 2.20, 2 Ca 2.39
6 N 0.5240 0.8750 0.8990  2 Tl 2.20, 2 Ca 2.39
7 Tl 0.5000 0.7500 0.2500  4 N 2.20
8 Tl 0.0000 0.0000 0.0000  4 N 2.20

Density ... 7053 kg/m3
Density of states at the Fermi level ... 4.84 states/eV/cell

***

[3]
Material: Ca7V3N9
Method: DFT, SCAN
State: single point on PBEsol structure

Unit cell a=6.0011 b=8.9173 c=9.8614 alpha=90.00 beta=90.00 gamma=91.62
With the nearest neighbours (Å) after each atom.
Fractional positions:
1 N 0.3632 0.3785 0.3950  1 V 1.76
2 N 0.4574 0.3357 0.7500  1 V 1.76
3 N 0.7741 0.2688 0.2500  2 V 1.91-1.94
4 N 0.6368 0.6215 0.8950  1 V 1.76
5 N 0.8750 0.3465 0.8936  1 V 1.87
6 N 0.8750 0.3465 0.6064  1 V 1.87
7 N 0.7689 0.9777 0.0951  1 V 1.81
8 N 0.1250 0.6535 0.1064  1 V 1.87
9 N 0.3539 0.0705 0.2500  2 V 1.92-1.96
10 N 0.3632 0.3785 0.1050  1 V 1.76
11 N 0.6368 0.6215 0.6050  1 V 1.76
12 N 0.6461 0.9295 0.7500  2 V 1.92-1.96
13 N 0.2311 0.0223 0.9049  1 V 1.81
14 N 0.5426 0.6643 0.2500  1 V 1.76
15 N 0.7689 0.9777 0.4049  1 V 1.81
16 N 0.1250 0.6535 0.3936  1 V 1.87
17 N 0.2311 0.0223 0.5951  1 V 1.81
18 N 0.2259 0.7312 0.7500  2 V 1.91-1.94
19 Ca 0.0679 0.1706 0.4162  5 N 2.43-2.58
20 Ca 0.0679 0.1706 0.0838  5 N 2.43-2.58
21 Ca 0.0869 0.2055 0.7500  5 N 2.30-2.48
22 Ca 0.9131 0.7945 0.2500  5 N 2.30-2.48
23 Ca 0.2460 0.5115 0.5819  4 N 2.31-2.57
24 Ca 0.9321 0.8294 0.9162  5 N 2.43-2.58
25 Ca 0.2460 0.5115 0.9181  4 N 2.31-2.57
26 Ca 0.9321 0.8294 0.5838  5 N 2.43-2.58
27 Ca 0.4226 0.8369 0.4325  4 N 2.41-2.59
28 Ca 0.4226 0.8369 0.0675  4 N 2.41-2.59
29 Ca 0.5774 0.1631 0.9325  4 N 2.41-2.59
30 Ca 0.7540 0.4885 0.4181  4 N 2.31-2.57
31 Ca 0.7540 0.4885 0.0819  4 N 2.31-2.57
32 Ca 0.5774 0.1631 0.5675  4 N 2.41-2.59
33 V 0.2817 0.5690 0.2500  3 N 1.76-1.87
34 V 0.7183 0.4310 0.7500  3 N 1.76-1.87
35 V 0.3269 0.9368 0.7500  4 N 1.81-1.92
36 V 0.6731 0.0632 0.2500  4 N 1.81-1.92
37 V 0.5479 0.7186 0.7500  4 N 1.76-1.96
38 V 0.4521 0.2814 0.2500  4 N 1.76-1.96

Density ... 3522 kg/m3
Density of states at the Fermi level ... 0.52 states/eV/cell

***

[4]
Material: CaZr2ZnN
Method: DFT, SCAN
State: single point on PBEsol structure

Unit cell a=3.5742 b=5.4590 c=5.4590 alpha=90.00 beta=90.00 gamma=90.00
With the nearest neighbours (Å) after each atom.
Fractional positions:
1 N 0.5000 0.0000 0.0000  2 Zn 1.79
2 Zr 0.0000 0.0000 0.5000  2 Zn 2.73
3 Zr 0.0000 0.5000 0.0000  2 Zn 2.73
4 Ca 0.5000 0.5000 0.5000  8 Zr 3.26, 2 Ca 3.57
5 Zn 0.0000 0.0000 0.0000  2 N 1.79

Density ... 4707 kg/m3
Density of states at the Fermi level ... 5.21 states/eV/cell

***

Magnetic moment, record by record: 0.577; 0.002; 0.000; 0.232 μB per atom
Uncorrected formation energy, record by record: 2.795; 0.305; -1.356; 1.054 eV/atom
Raw total energy, record by record: -10.614; -24.846; -12.079; -17.720 eV per atom